[1]
# Ca3DyEr2Se6 (GGA-PBE, optimized geometry)
data_Ca3DyEr2Se6
_chemical_formula_sum 'Ca3 Dy1 Er2 Se6'
_cell_length_a 7.088
_cell_length_b 7.088
_cell_length_c 7.205
_cell_angle_alpha 99.47
_cell_angle_beta 99.47
_cell_angle_gamma 119.94
_symmetry_space_group_name_H-M 'P 1'
_symmetry_Int_Tables_number 1
_symmetry_space_group_name_Hall 'P 1'
loop_
_atom_site_label
_atom_site_type_symbol
_atom_site_fract_x
_atom_site_fract_y
_atom_site_fract_z
Dy1 Dy 0.000 0.000 0.000
Se1 Se 0.583 0.919 0.756
Se2 Se 0.919 0.583 0.756
Ca1 Ca 0.834 0.166 0.500
Er1 Er 0.667 0.333 0.000
Er2 Er 0.333 0.667 0.000
Se3 Se 0.417 0.081 0.244
Se4 Se 0.081 0.417 0.244
Se5 Se 0.746 0.746 0.243
Se6 Se 0.254 0.254 0.757
Ca2 Ca 0.500 0.500 0.500
Ca3 Ca 0.166 0.834 0.500
# density of states at the Fermi level	4.33	states/eV/cell
# volume	296.2	Å³/cell
# E	-62.94	eV/cell
# total moment	0.0000	μB/atom
# SG	C2/m (12)

***

[2]
# CaDy4Er3Se8 (GGA-PBE, optimized geometry)
data_CaDy4Er3Se8
_chemical_formula_sum 'Ca1 Dy4 Er3 Se8'
_cell_length_a 8.137
_cell_length_b 8.152
_cell_length_c 8.136
_cell_angle_alpha 119.94
_cell_angle_beta 120.00
_cell_angle_gamma 90.00
_symmetry_space_group_name_H-M 'P 1'
_symmetry_Int_Tables_number 1
_symmetry_space_group_name_Hall 'P 1'
loop_
_atom_site_label
_atom_site_type_symbol
_atom_site_fract_x
_atom_site_fract_y
_atom_site_fract_z
Dy1 Dy 0.000 0.000 0.000
Se1 Se 0.750 0.252 0.002
Se2 Se 0.250 0.748 0.500
Se3 Se 0.749 0.746 0.497
Se4 Se 0.750 0.252 0.500
Se5 Se 0.251 0.254 0.503
Dy2 Dy 0.500 0.000 0.000
Er1 Er 0.500 0.500 0.000
Er2 Er 0.500 0.500 0.500
Se6 Se 0.747 0.748 0.998
Er3 Er 0.000 0.500 0.500
Dy3 Dy 0.000 0.000 0.500
Se7 Se 0.250 0.748 0.998
Ca1 Ca 0.000 0.500 0.000
Se8 Se 0.253 0.252 0.002
Dy4 Dy 0.500 0.000 0.500
# density of states at the Fermi level	8.12	states/eV/cell
# volume	382.0	Å³/cell
# E	-90.01	eV/cell
# total moment	0.0000	μB/atom
# SG	R-3m (166)

***

[3]
# CaSm3Dy6Er2 (GGA-PBE, optimized geometry)
data_CaSm3Dy6Er2
_chemical_formula_sum 'Ca1 Sm3 Dy6 Er2'
_cell_length_a 6.207
_cell_length_b 6.207
_cell_length_c 11.841
_cell_angle_alpha 95.00
_cell_angle_beta 95.00
_cell_angle_gamma 120.00
_symmetry_space_group_name_H-M 'P 1'
_symmetry_Int_Tables_number 1
_symmetry_space_group_name_Hall 'P 1'
loop_
_atom_site_label
_atom_site_type_symbol
_atom_site_fract_x
_atom_site_fract_y
_atom_site_fract_z
Er1 Er 0.667 0.333 0.000
Sm1 Sm 0.166 0.834 0.500
Ca1 Ca 0.000 0.000 0.000
Dy1 Dy 0.084 0.424 0.250
Er2 Er 0.333 0.667 0.000
Dy2 Dy 0.576 0.916 0.750
Dy3 Dy 0.256 0.256 0.750
Dy4 Dy 0.744 0.744 0.250
Dy5 Dy 0.424 0.084 0.250
Dy6 Dy 0.916 0.576 0.750
Sm2 Sm 0.500 0.500 0.500
Sm3 Sm 0.834 0.166 0.500
# density of states at the Fermi level	18.76	states/eV/cell
# volume	389.1	Å³/cell
# E	-52.25	eV/cell
# total moment	0.0001	μB/atom
# SG	C2/m (12)